8
Lattice="2.572 -4.455 0.000 2.572 4.455 0.000 0.000 0.000 8.761" Properties=species:S:1:pos:R:3 comment="MgSc, optimized geometry, DFT GGA-PBE" m_tot_mub_per_fu=0.0 dft_energy_ev_per_fu=-7.37 sg="P6_3/mmc, No. 194" formation_energy_ev_per_atom=0.2765 n_ef_per_ev_fu=2.2 pbc="T T T"
Sc 0.000 0.000 2.190
Mg 2.572 1.485 3.615
Mg 2.572 -1.485 7.995
Sc 0.000 0.000 6.571
Mg 2.572 1.485 0.766
Sc 2.572 -1.485 2.190
Mg 2.572 -1.485 5.147
Sc 2.572 1.485 6.571


4
Lattice="3.384 0.000 0.000 1.692 2.930 0.000 1.692 0.977 10.083" Properties=species:S:1:pos:R:3 comment="Er2GaTc, optimized geometry, DFT GGA-PBE" m_tot_mub_per_fu=0.0 dft_energy_ev_per_fu=-21.71 sg="R-3m, No. 166" formation_energy_ev_per_atom=0.2017 n_ef_per_ev_fu=5.0 pbc="T T T"
Er 5.075 2.930 3.035
Tc 3.384 1.954 5.042
Ga 0.000 0.000 0.000
Er 1.692 0.977 7.048


4
Lattice="5.429 0.000 0.000 -2.714 4.702 0.000 0.000 0.000 6.263" Properties=species:S:1:pos:R:3 comment="NaIn, optimized geometry, DFT GGA-PBE" m_tot_mub_per_fu=0.0 dft_energy_ev_per_fu=-3.35 sg="P6_3/mmc, No. 194" formation_energy_ev_per_atom=0.3547 n_ef_per_ev_fu=1.3 pbc="T T T"
In 2.714 1.567 1.566
Na 2.714 1.567 4.697
In 0.000 3.134 4.697
Na 0.000 3.134 1.566


9
Lattice="3.772 -6.533 0.000 3.772 6.533 0.000 0.000 0.000 3.785" Properties=species:S:1:pos:R:3 comment="Zr6Fe2Sb, optimized geometry, DFT GGA-PBE" m_tot_mub_per_fu=3.1 e_form_raw_mev_per_atom=-103 dft_energy_ev_per_fu=-73.27 sg="P-62m, No. 189" n_ef_per_ev_fu=11.3 de_polymorph_ev_per_atom=0.110 pbc="T T T"
Zr 2.688 -4.656 0.000
Fe 3.772 -2.178 0.000
Zr 1.514 -2.621 1.892
Zr 2.688 4.656 0.000
Zr 2.168 0.000 0.000
Sb 0.000 0.000 1.892
Zr 1.514 2.621 1.892
Fe 3.772 2.178 0.000
Zr 4.517 0.000 1.892